The following is a DFT calculation (PBE) of crystalline Ba2AgSe at its relaxed geometry.

Computed properties:
- uncorrected formation energy (meV/atom) = -973
- total magnetization (Bohr magnetons per cell) = 0.0

a b c (Å): 5.689 5.689 4.136
angles (deg): 90.00 90.00 90.00
Space group P4/mmm (No. 123)
Unique sites:
Ba 0.000 0.500 0.000 [2 per cell]
Ag 0.000 0.000 0.500 [1 per cell]
Se 0.500 0.500 0.500 [1 per cell]